A relaxed structure of NbTl2C. Source: Alexandria via LeMat-Bulk, functional PBE-GGA.

Properties
Offset from the most stable computed form ... 0 meV/atom
Energy of formation ... 1.077 eV/atom
VASP energy ... -4.9295 eV/atom
Size of the total moment ... 0.89 μB per formula unit

```
8
Lattice="-4.668 4.668 2.124 4.668 -4.668 2.124 4.668 4.668 -2.124" Properties=species:S:1:pos:R:3 pbc="T T T"
Nb 0.000 0.000 0.000
Nb 0.000 4.668 1.062
Tl 2.334 -1.079 1.593
Tl 3.589 2.334 0.531
Tl 2.334 5.747 -0.531
Tl 1.079 2.334 2.654
C 4.668 0.000 1.062
C 0.000 0.000 2.124
```